Ce6Ge5Os: optimized geometry, GGA-PBE.

Values from the calculation:
formation energy = -0.54 eV per atom

Structure (CIF):
```
data_Ce6Ge5Os
_space_group_name_H-M_alt 'P 1'
_space_group_IT_number 1
_cell_length_a 7.274
_cell_length_b 7.274
_cell_length_c 7.256
_cell_angle_alpha 99.62
_cell_angle_beta 99.62
_cell_angle_gamma 119.90
loop_
_space_group_symop_operation_xyz
'x,y,z'
loop_
_atom_site_label
_atom_site_type_symbol
_atom_site_fract_x
_atom_site_fract_y
_atom_site_fract_z
_atom_site_occupancy
Ce1 Ce 0.080 0.396 0.740 1
Ce2 Ce 0.234 0.234 0.259 1
Ce3 Ce 0.396 0.080 0.740 1
Ce4 Ce 0.604 0.920 0.260 1
Ce5 Ce 0.766 0.766 0.741 1
Ce6 Ce 0.920 0.604 0.260 1
Ge1 Ge 0.174 0.826 0.000 1
Ge2 Ge 0.334 0.666 0.500 1
Ge3 Ge 0.500 0.500 0.000 1
Ge4 Ge 0.666 0.334 0.500 1
Ge5 Ge 0.826 0.174 0.000 1
Os1 Os 0.000 0.000 0.500 1
```